Entry w
A relaxed structure of MgW2Cl. Source: Alexandria, functional PBE-GGA.

a b c (Å): 2.956 4.892 9.369
angles (deg): 90.00 90.00 90.00
Space group Cmmm (No. 65)
Asymmetric unit:
Mg  0.000  0.000  0.000 x2
W  0.000  0.500  0.261 x4
Cl  0.000  0.000  0.500 x2

theoretical density = 10.48 Mg/m³
crystal system = orthorhombic
total moment = 0.00 Bohr magnetons per cell



Entry x
A relaxed structure of MgW2Cl. Source: Alexandria, functional PBE-GGA.

a b c (Å): 3.109 4.937 11.334
angles (deg): 90.00 90.00 90.00
Space group Imm2 (No. 44)
Asymmetric unit:
Mg  0.000  0.000  0.000 x2
W  0.000  0.000  0.541 x2
W  0.000  0.500  0.877 x2
Cl  0.000  0.500  0.237 x2

theoretical density = 8.16 Mg/m³
crystal system = orthorhombic
total moment = 0.00 Bohr magnetons per cell



Tell me which of them is the least stable. Sure, it is entry w.



Entry w
A relaxed structure of BeTe2As. Source: Alexandria, functional PBE-GGA.

a b c (Å): 7.053 7.053 7.053
angles (deg): 90.00 90.00 90.00
Space group F-43m (No. 216)
Asymmetric unit:
Be  0.000  0.000  0.000 x4
Te  0.000  0.000  0.500 x4
Te  0.250  0.250  0.250 x4
As  0.250  0.250  0.750 x4

theoretical density = 6.42 Mg/m³
crystal system = cubic
total moment = 0.00 Bohr magnetons per cell



Entry x
A relaxed structure of BeTe2As. Source: Alexandria, functional PBE-GGA.

a b c (Å): 3.300 3.300 9.269
angles (deg): 90.00 90.00 90.00
Space group P4mm (No. 99)
Asymmetric unit:
Be  0.000  0.000  0.000 x1
Te  0.000  0.000  0.740 x1
Te  0.500  0.500  0.343 x1
As  0.500  0.500  0.061 x1

theoretical density = 5.58 Mg/m³
crystal system = tetragonal
total moment = 0.00 Bohr magnetons per cell



Tell me which of them is the least stable. Sure, it is entry w.